Dy2Ga: relaxed, PBE.

## Properties
E_form: -8.82 kcal/mol of atoms
crystal system: orthorhombic
VASP energy: -53.5 eV for the cell shown

abc: 4.5654 8.3503 8.5757
angles: 90.00 105.44 90.00
Last column: nearest neighbours and their distance in Å.
Sites, in units of the cell vectors:
Ga  0.5372  0.6936  0.0745  9 Dy 3.02-3.39
Dy  0.1598  0.6598  0.3195  4 Ga 3.06-3.17, 4 Dy 3.28-3.38
Ga  0.7928  0.6550  0.5855  8 Dy 2.94-3.28
Dy  0.3692  0.8453  0.7383  4 Ga 3.05-3.29
Dy  0.6308  0.3453  0.2617  4 Ga 3.05-3.29
Dy  0.8402  0.1598  0.6805  4 Ga 3.06-3.17, 4 Dy 3.28-3.38
Dy  0.3251  0.4421  0.6503  4 Ga 2.94-3.09, 3 Dy 3.28-3.29
Dy  0.9735  0.4922  0.9471  5 Ga 3.02-3.39, 3 Dy 3.38
Dy  0.6749  0.9421  0.3497  4 Ga 2.94-3.09, 3 Dy 3.28-3.29
Ga  0.2072  0.1550  0.4145  8 Dy 2.94-3.28
Ga  0.4628  0.1936  0.9255  9 Dy 3.02-3.39
Dy  0.0265  0.9922  0.0529  5 Ga 3.02-3.39, 3 Dy 3.38

=====

HfInNiRh: relaxed, PBE.

## Properties
E_form: -12.95 kcal/mol of atoms
crystal system: cubic
VASP energy: -28.1 eV for the cell shown

abc: 4.5332 4.5332 4.5332
angles: 60.00 60.00 60.00
Last column: nearest neighbours and their distance in Å.
Sites, in units of the cell vectors:
Ni  0.0000  0.0000  0.0000  4 Hf 2.78, 4 In 2.78
Rh  0.5000  0.5000  0.5000  4 In 2.78, 4 Hf 2.78
In  0.7500  0.7500  0.7500  4 Rh 2.78, 4 Ni 2.78
Hf  0.2500  0.2500  0.2500  4 Ni 2.78, 4 Rh 2.78

=====

SmHoTm2: relaxed, PBE.

## Properties
polymorph energy (0 for the lowest one): 114 meV/atom
E_form: 2.85 kcal/mol of atoms
crystal system: cubic
VASP energy: -17.7 eV for the cell shown

abc: 5.6328 5.6328 5.6328
angles: 60.00 60.00 60.00
Last column: nearest neighbours and their distance in Å.
Sites, in units of the cell vectors:
Ho  0.5000  0.5000  0.5000  8 Tm 3.45
Tm  0.7500  0.7500  0.7500  4 Ho 3.45, 4 Sm 3.45
Sm  0.0000  0.0000  0.0000  8 Tm 3.45
Tm  0.2500  0.2500  0.2500  4 Ho 3.45, 4 Sm 3.45

=====

Which value of VASP energy does entry 1 give?
-53.5 eV for the cell shown

=====

What is the formula in the first record?
Dy2Ga